1 | Compound: FeTe2Pt
Source: Alexandria
Functional: SCAN
Structure: single point on PBEsol structure

## Properties
As for the density of states at the Fermi level: 0.732 states/eV per atom.

Cell and atoms, written as extended XYZ:
```
4
Lattice="3.4738 0.0000 0.0000 0.0000 3.4738 0.0000 0.0000 0.0000 6.9319" Properties=species:S:1:pos:R:3 pbc="T T T"
Te 0.0000 0.0000 6.2119
Fe 0.0000 0.0000 3.6478
Pt 1.7369 1.7369 5.0413
Te 1.7369 1.7369 2.4286
```

2 | Compound: FeTe2Pt
Source: Alexandria
Functional: SCAN
Structure: single point on PBEsol structure

## Properties
As for the density of states at the Fermi level: 0.683 states/eV per atom.

Cell and atoms, written as extended XYZ:
```
4
Lattice="3.3564 0.0000 0.0000 0.0000 3.4108 -0.0199 0.0000 -0.0480 6.5416" Properties=species:S:1:pos:R:3 pbc="T T T"
Fe 1.6782 1.7054 -0.0100
Pt 1.6782 1.6814 3.2608
Te 0.0000 0.2826 1.5557
Te 0.0000 3.0801 4.9659
```

What is the stability order? It is 1, 2, from most stable to least stable.

1 | Compound: TlFePt
Source: Alexandria
Functional: SCAN
Structure: single point on PBEsol structure

## Properties
As for the density of states at the Fermi level: 0.636 states/eV per atom.

Cell and atoms, written as extended XYZ:
```
3
Lattice="2.9320 0.0000 0.0000 0.0000 2.9320 0.0000 -1.4660 -1.4660 5.7254" Properties=species:S:1:pos:R:3 pbc="T T T"
Fe 1.4660 1.4660 5.5757
Pt 0.0000 0.0000 4.0265
Tl 1.4660 1.4660 1.8485
```

2 | Compound: TlFePt
Source: Alexandria
Functional: SCAN
Structure: single point on PBEsol structure

## Properties
As for the density of states at the Fermi level: 0.839 states/eV per atom.

Cell and atoms, written as extended XYZ:
```
3
Lattice="-1.6281 1.8470 -3.5729 -4.2577 -0.2181 -0.8074 -2.4553 3.5628 0.3258" Properties=species:S:1:pos:R:3 pbc="T T T"
Pt -2.0853 1.2979 -1.0136
Fe -4.1706 2.5959 -2.0272
Tl 0.0000 0.0000 0.0000
```

What is the stability order? It is 2, 1, from most stable to least stable.

1 | Compound: Fe2PtW
Source: Alexandria
Functional: SCAN
Structure: single point on PBEsol structure

## Properties
As for the density of states at the Fermi level: 0.731 states/eV per atom.

Cell and atoms, written as extended XYZ:
```
4
Lattice="-0.7200 -1.2541 -2.2362 2.0419 -2.8879 0.9620 -4.1646 -2.1047 2.5213" Properties=species:S:1:pos:R:3 pbc="T T T"
Pt -2.0343 -1.0281 1.2316
W -2.5632 -3.7004 1.3148
Fe -0.2832 -2.5481 -0.0656
Fe -0.0444 -0.0225 0.0269
```

2 | Compound: Fe2PtW
Source: Alexandria
Functional: SCAN
Structure: single point on PBEsol structure

## Properties
As for the density of states at the Fermi level: 0.438 states/eV per atom.

Cell and atoms, written as extended XYZ:
```
4
Lattice="3.5207 0.0000 0.0000 0.0000 3.7650 0.0000 0.0000 0.0000 3.7650" Properties=species:S:1:pos:R:3 pbc="T T T"
Pt 1.7604 1.8825 1.8825
Fe 0.0000 0.0000 1.8825
W 1.7604 0.0000 0.0000
Fe 0.0000 1.8825 0.0000
```

3 | Compound: Fe2PtW
Source: Alexandria
Functional: SCAN
Structure: single point on PBEsol structure

## Properties
As for the density of states at the Fermi level: 0.385 states/eV per atom.

Cell and atoms, written as extended XYZ:
```
4
Lattice="2.7730 0.0000 0.0000 0.0000 2.7730 0.0000 0.0000 0.0000 6.8162" Properties=species:S:1:pos:R:3 pbc="T T T"
Pt 0.0000 0.0000 3.2878
W 1.3865 1.3865 5.2878
Fe 1.3865 1.3865 1.5061
Fe 0.0000 0.0000 0.1426
```

4 | Compound: Fe2PtW
Source: Alexandria
Functional: SCAN
Structure: single point on PBEsol structure

## Properties
As for the density of states at the Fermi level: 0.479 states/eV per atom.

Cell and atoms, written as extended XYZ:
```
4
Lattice="3.6962 0.0000 0.0000 0.0000 3.6962 0.0000 -1.8481 -1.8481 3.7750" Properties=species:S:1:pos:R:3 pbc="T T T"
W 0.0000 1.8481 1.8875
Fe 1.8481 0.0000 1.8875
Fe 1.8481 1.8481 0.0000
Pt 0.0000 0.0000 0.0000
```

What is the stability order? It is 4, 3, 1, 2, from most stable to least stable.

1 | Compound: FePtW2
Source: Alexandria
Functional: SCAN
Structure: single point on PBEsol structure

## Properties
As for the density of states at the Fermi level: 0.488 states/eV per atom.

Cell and atoms, written as extended XYZ:
```
4
Lattice="3.8028 0.0000 0.0000 0.0000 3.8028 0.0000 0.0000 0.0000 3.8658" Properties=species:S:1:pos:R:3 pbc="T T T"
Fe 1.9014 1.9014 1.9329
W 0.0000 1.9014 0.0000
Pt 0.0000 0.0000 1.9329
W 1.9014 0.0000 0.0000
```

2 | Compound: FePtW2
Source: Alexandria
Functional: SCAN
Structure: single point on PBEsol structure

## Properties
As for the density of states at the Fermi level: 0.499 states/eV per atom.

Cell and atoms, written as extended XYZ:
```
4
Lattice="2.7107 0.0000 0.0343 0.0000 3.7987 0.0000 -0.0777 0.0000 5.4436" Properties=species:S:1:pos:R:3 pbc="T T T"
W 2.6903 0.0000 1.2941
Fe 1.3553 1.8993 0.0172
Pt 1.3165 1.8993 2.7390
W -0.0573 0.0000 4.1838
```

What is the stability order? It is 1, 2, from most stable to least stable.

1 | Compound: FeReSe2
Source: Alexandria
Functional: SCAN
Structure: single point on PBEsol structure

## Properties
As for the density of states at the Fermi level: 0.717 states/eV per atom.

Cell and atoms, written as extended XYZ:
```
4
Lattice="3.0282 0.0000 0.0000 1.5141 2.6225 0.0000 1.5141 0.8742 7.3856" Properties=species:S:1:pos:R:3 pbc="T T T"
Se 4.5424 2.6225 5.4738
Fe 3.0282 1.7484 3.6928
Se 1.5141 0.8742 1.9118
Re 0.0000 0.0000 0.0000
```

2 | Compound: FeReSe2
Source: Alexandria
Functional: SCAN
Structure: single point on PBEsol structure

## Properties
As for the density of states at the Fermi level: 0.627 states/eV per atom.

Cell and atoms, written as extended XYZ:
```
4
Lattice="-2.3239 2.3346 -0.5351 -1.0408 -1.7605 -3.1611 -2.3492 -3.5760 5.0073" Properties=species:S:1:pos:R:3 pbc="T T T"
Fe -1.1619 1.1673 -0.2675
Re -0.5204 -0.8803 -1.5806
Se -1.1215 -0.9149 0.8788
Se -4.5924 -2.0870 0.4323
```

3 | Compound: FeReSe2
Source: Alexandria
Functional: SCAN
Structure: single point on PBEsol structure

## Properties
As for the density of states at the Fermi level: 0.881 states/eV per atom.

Cell and atoms, written as extended XYZ:
```
4
Lattice="3.0388 0.0000 0.0000 0.0000 3.9541 0.0000 0.0000 0.0000 5.2019" Properties=species:S:1:pos:R:3 pbc="T T T"
Se 0.0000 0.0000 0.0000
Re 0.0000 1.9771 2.6009
Fe 1.5194 1.9771 0.0000
Se 1.5194 0.0000 2.6009
```

4 | Compound: FeReSe2
Source: Alexandria
Functional: SCAN
Structure: single point on PBEsol structure

## Properties
As for the density of states at the Fermi level: 0.614 states/eV per atom.

Cell and atoms, written as extended XYZ:
```
4
Lattice="-1.6947 1.9352 1.5537 -0.8794 -2.9001 -0.2533 4.0224 -1.7985 6.6279" Properties=species:S:1:pos:R:3 pbc="T T T"
Se 2.9958 -1.3395 4.9362
Fe 1.1639 0.0684 4.0908
Re -0.8474 0.9676 0.7768
Se 1.0266 -0.4590 1.6916
```

What is the stability order? It is 2, 1, 4, 3, from most stable to least stable.

1 | Compound: Sr2FeRe
Source: Alexandria
Functional: SCAN
Structure: single point on PBEsol structure

## Properties
As for the density of states at the Fermi level: 0.885 states/eV per atom.

Cell and atoms, written as extended XYZ:
```
4
Lattice="-1.8243 0.0786 2.1604 -0.7950 -4.5897 -2.3561 4.2606 -2.1827 3.6773" Properties=species:S:1:pos:R:3 pbc="T T T"
Re -0.9122 0.0393 1.0802
Sr 1.4163 -3.9003 3.1898
Sr 0.2250 -2.7934 0.2917
Fe 2.1303 -1.0913 1.8386
```

2 | Compound: Sr2FeRe
Source: Alexandria
Functional: SCAN
Structure: single point on PBEsol structure

## Properties
As for the density of states at the Fermi level: 1.058 states/eV per atom.

Cell and atoms, written as extended XYZ:
```
4
Lattice="-1.0066 1.1488 -2.8209 -3.0747 -0.4395 0.9182 -0.2912 8.6797 3.1788" Properties=species:S:1:pos:R:3 pbc="T T T"
Fe -0.1763 5.0200 1.8122
Sr -2.1746 3.2427 -0.0175
Sr -1.2360 9.1481 0.2392
Re -2.2291 6.1464 1.1894
```

3 | Compound: Sr2FeRe
Source: Alexandria
Functional: SCAN
Structure: single point on PBEsol structure

## Properties
As for the density of states at the Fermi level: 0.793 states/eV per atom.

Cell and atoms, written as extended XYZ:
```
4
Lattice="2.8777 0.0000 0.0000 0.0000 5.7535 -0.1261 0.0000 -2.3957 5.2325" Properties=species:S:1:pos:R:3 pbc="T T T"
Sr 0.0000 -1.1978 2.6163
Re 1.4389 1.6789 2.5532
Fe 1.4389 0.0000 0.0000
Sr 0.0000 2.8768 -0.0631
```

What is the stability order? It is 2, 3, 1, from most stable to least stable.